{"formula": "Nb2ZnW", "functional": "GGA-PBE", "state": "relaxed", "lattice": [[-0.242, -0.302, -3.284], [-2.738, -1.817, 0.369], [-3.418, 5.106, -0.218]], "species": ["W", "Nb", "Nb", "Zn"], "frac_coords": [[0.500, 0.500, 0.000], [0.000, 0.000, 0.249], [0.000, 0.000, 0.751], [0.500, 0.500, 0.500]], "formation_energy_kcal_per_mol_atoms": -0.6, "space_group": "P4/mmm"}

***

{"formula": "CaCoCu3", "functional": "GGA-PBE", "state": "relaxed", "lattice": [[4.511, 0.000, 0.000], [0.000, 4.511, 0.000], [0.000, 0.000, 4.511]], "species": ["Ca", "Co", "Cu", "Cu", "Cu"], "frac_coords": [[0.500, 0.500, 0.500], [0.000, 0.000, 0.000], [0.500, 0.000, 0.000], [0.000, 0.000, 0.500], [0.000, 0.500, 0.000]], "de_polymorph_ev_per_atom": 0.0000, "formation_energy_kcal_per_mol_atoms": 8.7, "space_group": "Pm-3m"}

***

What are the final energy values for these records? In order: -8.62; -3.90 eV/atom.